# Tb2Pr7Nd | Alexandria | PBE | relaxed
# Density: 5.64 g/cm3
# DFT total energy: -4.13 eV per atom
data_Tb2Pr7Nd
_cell_length_a 8.999
_cell_length_b 16.434
_cell_length_c 5.763
_cell_angle_alpha 90.00
_cell_angle_beta 90.00
_cell_angle_gamma 90.00
_symmetry_space_group_name_H-M 'C m m m'
_symmetry_Int_Tables_number 65
_symmetry_space_group_name_Hall '-C 2 2'
loop_
_atom_site_label
_atom_site_type_symbol
_atom_site_fract_x
_atom_site_fract_y
_atom_site_fract_z
Tb1 Tb 0.000 0.204 0.000
Pr1 Pr 0.000 0.000 0.000
Pr2 Pr 0.000 0.272 0.500
Pr3 Pr 0.180 0.385 0.000
Nd1 Nd 0.000 0.500 0.500